1.
Below is crystalline Tm4GeSbC at its relaxed geometry, with properties calculated at the PBE-GGA level.

E_tot	-40.9	eV/f.u.
calculated volume	23.70	Å³/atom
formation energy (no corrections)	-0.726	eV per atom

The structure in CIF format:
```
data_Tm4GeSbC
_cell_length_a 4.672
_cell_length_b 4.672
_cell_length_c 8.288
_cell_angle_alpha 106.37
_cell_angle_beta 106.37
_cell_angle_gamma 90.00
_space_group_name_H-M_alt 'P 1'
_space_group_IT_number 1
loop_
_space_group_symop_operation_xyz
'x,y,z'
loop_
_atom_site_label
_atom_site_fract_x
_atom_site_fract_y
_atom_site_fract_z
Tm1 0.995 0.495 0.990
Tm2 0.495 0.995 0.990
Tm3 0.840 0.840 0.681
Tm4 0.163 0.163 0.326
Ge1 0.362 0.362 0.723
Sb1 0.642 0.642 0.283
C1 0.003 0.003 0.007
```


2.
Below is crystalline VGe2SbC at its relaxed geometry, with properties calculated at the PBE-GGA level.

E_tot	-19.2	eV/f.u.
calculated volume	28.40	Å³/atom
formation energy (no corrections)	2.500	eV per atom

The structure in CIF format:
```
data_VGe2SbC
_cell_length_a 5.330
_cell_length_b 4.998
_cell_length_c 5.330
_cell_angle_alpha 90.00
_cell_angle_beta 90.00
_cell_angle_gamma 90.00
_space_group_name_H-M_alt 'P 1'
_space_group_IT_number 1
loop_
_space_group_symop_operation_xyz
'x,y,z'
loop_
_atom_site_label
_atom_site_fract_x
_atom_site_fract_y
_atom_site_fract_z
Sb1 0.000 0.000 0.000
Ge1 0.000 0.000 0.500
Ge2 0.500 0.000 0.000
C1 0.500 0.500 0.500
V1 0.000 0.500 0.000
```


3.
Below is crystalline Sc6Ge3C at its relaxed geometry, with properties calculated at the PBE-GGA level.

E_tot	-66.2	eV/f.u.
energy of formation from the pure elements	-5.144	eV/f.u.
calculated volume	20.74	Å³/atom

The structure in CIF format:
```
data_Sc6Ge3C
_cell_length_a 6.970
_cell_length_b 6.486
_cell_length_c 6.486
_cell_angle_alpha 58.98
_cell_angle_beta 60.56
_cell_angle_gamma 60.56
_space_group_name_H-M_alt 'P 1'
_space_group_IT_number 1
loop_
_space_group_symop_operation_xyz
'x,y,z'
loop_
_atom_site_label
_atom_site_fract_x
_atom_site_fract_y
_atom_site_fract_z
Sc1 0.342 0.190 0.680
Sc2 0.658 0.320 0.810
Sc3 0.658 0.810 0.320
Sc4 0.342 0.680 0.190
Sc5 0.169 0.729 0.729
Sc6 0.831 0.271 0.271
Ge1 0.254 0.241 0.241
Ge2 0.746 0.759 0.759
Ge3 0.000 0.000 0.000
C1 0.500 0.500 0.500
```


4.
Below is crystalline Sc3GeC at its relaxed geometry, with properties calculated at the PBE-GGA level.

E_tot	-31.4	eV/f.u.
energy of formation from the pure elements	1.427	eV/f.u.
calculated volume	23.52	Å³/atom

The structure in CIF format:
```
data_Sc3GeC
_cell_length_a 4.220
_cell_length_b 4.220
_cell_length_c 6.603
_cell_angle_alpha 90.00
_cell_angle_beta 90.00
_cell_angle_gamma 90.00
_space_group_name_H-M_alt 'P 1'
_space_group_IT_number 1
loop_
_space_group_symop_operation_xyz
'x,y,z'
loop_
_atom_site_label
_atom_site_fract_x
_atom_site_fract_y
_atom_site_fract_z
Sc1 0.000 0.000 0.764
Sc2 0.500 0.000 0.401
Sc3 0.000 0.500 0.401
Ge1 0.000 0.000 0.144
C1 0.500 0.500 0.552
```


5.
Below is crystalline Sc2Ge2C at its relaxed geometry, with properties calculated at the PBE-GGA level.

E_tot	-31.7	eV/f.u.
energy of formation from the pure elements	-0.559	eV/f.u.
energy relative to the lowest polymorph listed for this composition	0.0	meV/atom
calculated volume	17.45	Å³/atom

The structure in CIF format:
```
data_Sc2Ge2C
_cell_length_a 6.281
_cell_length_b 6.281
_cell_length_c 4.423
_cell_angle_alpha 90.00
_cell_angle_beta 90.00
_cell_angle_gamma 90.00
_space_group_name_H-M_alt 'P 1'
_space_group_IT_number 1
loop_
_space_group_symop_operation_xyz
'x,y,z'
loop_
_atom_site_label
_atom_site_fract_x
_atom_site_fract_y
_atom_site_fract_z
Sc1 0.321 0.821 0.000
Sc2 0.821 0.679 0.000
Sc3 0.679 0.179 0.000
Sc4 0.179 0.321 0.000
Ge1 0.141 0.641 0.500
Ge2 0.641 0.859 0.500
Ge3 0.859 0.359 0.500
Ge4 0.359 0.141 0.500
C1 0.000 0.000 0.000
C2 0.500 0.500 0.000
```


6.
Below is crystalline Sc3GeC at its relaxed geometry, with properties calculated at the PBE-GGA level.

E_tot	-35.8	eV/f.u.
energy of formation from the pure elements	-2.962	eV/f.u.
calculated volume	17.71	Å³/atom

The structure in CIF format:
```
data_Sc3GeC
_cell_length_a 5.814
_cell_length_b 5.814
_cell_length_c 9.142
_cell_angle_alpha 97.20
_cell_angle_beta 58.62
_cell_angle_gamma 133.56
_space_group_name_H-M_alt 'P 1'
_space_group_IT_number 1
loop_
_space_group_symop_operation_xyz
'x,y,z'
loop_
_atom_site_label
_atom_site_fract_x
_atom_site_fract_y
_atom_site_fract_z
Sc1 0.368 0.522 0.661
Sc2 0.962 0.553 0.348
Sc3 0.854 0.932 0.213
Sc4 0.603 0.750 0.929
Sc5 0.477 0.143 0.796
Sc6 0.727 0.325 0.080
C1 0.225 0.843 0.072
C2 0.105 0.232 0.937
Ge1 0.202 0.867 0.571
Ge2 0.128 0.209 0.438
```


7.
Below is crystalline Sc3GeC at its relaxed geometry, with properties calculated at the PBE-GGA level.

E_tot	-35.9	eV/f.u.
energy of formation from the pure elements	-3.107	eV/f.u.
calculated volume	18.05	Å³/atom

The structure in CIF format:
```
data_Sc3GeC
_cell_length_a 6.178
_cell_length_b 6.167
_cell_length_c 5.487
_cell_angle_alpha 90.79
_cell_angle_beta 85.76
_cell_angle_gamma 60.12
_space_group_name_H-M_alt 'P 1'
_space_group_IT_number 1
loop_
_space_group_symop_operation_xyz
'x,y,z'
loop_
_atom_site_label
_atom_site_fract_x
_atom_site_fract_y
_atom_site_fract_z
Sc1 0.908 0.157 0.435
Sc2 0.580 0.834 0.965
Sc3 0.908 0.670 0.426
Sc4 0.579 0.321 0.975
Sc5 0.419 0.158 0.488
Sc6 0.069 0.833 0.912
C1 0.744 0.995 0.700
C2 0.744 0.996 0.200
Ge1 0.076 0.329 0.953
Ge2 0.412 0.662 0.448
```


8.
Below is crystalline Sc3GeC at its relaxed geometry, with properties calculated at the PBE-GGA level.

E_tot	-35.6	eV/f.u.
energy of formation from the pure elements	-2.741	eV/f.u.
calculated volume	17.60	Å³/atom

The structure in CIF format:
```
data_Sc3GeC
_cell_length_a 21.253
_cell_length_b 5.632
_cell_length_c 8.265
_cell_angle_alpha 90.00
_cell_angle_beta 159.15
_cell_angle_gamma 90.00
_space_group_name_H-M_alt 'P 1'
_space_group_IT_number 1
loop_
_space_group_symop_operation_xyz
'x,y,z'
loop_
_atom_site_label
_atom_site_fract_x
_atom_site_fract_y
_atom_site_fract_z
Sc1 0.248 0.003 0.748
Sc2 0.752 0.997 0.252
Sc3 0.252 0.503 0.752
Sc4 0.748 0.497 0.248
Sc5 0.362 0.250 0.362
Sc6 0.638 0.750 0.638
Sc7 0.138 0.750 0.138
Sc8 0.862 0.250 0.862
Sc9 0.552 0.756 0.052
Sc10 0.448 0.244 0.948
Sc11 0.948 0.256 0.448
Sc12 0.052 0.744 0.552
Ge1 0.417 0.750 0.417
Ge2 0.583 0.250 0.583
Ge3 0.083 0.250 0.083
Ge4 0.917 0.750 0.917
C1 0.109 0.260 0.609
C2 0.891 0.740 0.391
C3 0.391 0.760 0.891
C4 0.609 0.240 0.109
```


9.
Below is crystalline Sc3GeC at its relaxed geometry, with properties calculated at the PBE-GGA level.

E_tot	-34.4	eV/f.u.
energy of formation from the pure elements	-1.521	eV/f.u.
calculated volume	20.49	Å³/atom

The structure in CIF format:
```
data_Sc3GeC
_cell_length_a 8.337
_cell_length_b 8.337
_cell_length_c 8.337
_cell_angle_alpha 60.00
_cell_angle_beta 60.00
_cell_angle_gamma 60.00
_space_group_name_H-M_alt 'P 1'
_space_group_IT_number 1
loop_
_space_group_symop_operation_xyz
'x,y,z'
loop_
_atom_site_label
_atom_site_fract_x
_atom_site_fract_y
_atom_site_fract_z
Sc1 0.798 0.202 0.202
Sc2 0.048 0.452 0.452
Sc3 0.452 0.452 0.048
Sc4 0.452 0.048 0.048
Sc5 0.048 0.452 0.048
Sc6 0.798 0.202 0.798
Sc7 0.452 0.048 0.452
Sc8 0.048 0.048 0.452
Sc9 0.202 0.798 0.202
Sc10 0.202 0.798 0.798
Sc11 0.202 0.202 0.798
Sc12 0.798 0.798 0.202
Ge1 0.625 0.625 0.625
Ge2 0.625 0.125 0.625
Ge3 0.125 0.625 0.625
Ge4 0.625 0.625 0.125
C1 0.125 0.125 0.125
C2 0.125 0.625 0.125
C3 0.625 0.125 0.125
C4 0.125 0.125 0.625
```


10.
Below is crystalline Sc4GeC2 at its relaxed geometry, with properties calculated at the PBE-GGA level.

E_tot	-52.6	eV/f.u.
energy of formation from the pure elements	-4.247	eV/f.u.
calculated volume	16.40	Å³/atom

The structure in CIF format:
```
data_Sc4GeC2
_cell_length_a 3.409
_cell_length_b 5.934
_cell_length_c 11.846
_cell_angle_alpha 90.00
_cell_angle_beta 90.00
_cell_angle_gamma 106.69
_space_group_name_H-M_alt 'P 1'
_space_group_IT_number 1
loop_
_space_group_symop_operation_xyz
'x,y,z'
loop_
_atom_site_label
_atom_site_fract_x
_atom_site_fract_y
_atom_site_fract_z
Sc1 0.762 0.524 0.103
Sc2 0.762 0.524 0.397
Sc3 0.238 0.476 0.897
Sc4 0.238 0.476 0.603
Sc5 0.924 0.849 0.750
Sc6 0.076 0.151 0.250
Sc7 0.500 0.000 0.000
Sc8 0.500 0.000 0.500
Ge1 0.613 0.226 0.750
Ge2 0.387 0.774 0.250
C1 0.135 0.270 0.440
C2 0.865 0.730 0.940
C3 0.135 0.270 0.060
C4 0.865 0.730 0.560
```


The lowest E_tot belongs to which entry?
Sc6Ge3C


What is the formula in the first record?
Tm4GeSbC


calculated volume of number 2 (VGe2SbC)?
28.40 Å³/atom